# 1
DFT (GGA-PBE) results for a relaxed structure of SrCd5Cu2.

POSCAR file:
```
SrCd5Cu2
1.0
-2.1817 4.0470 5.1368
2.1817 -4.0470 5.1368
2.1817 4.0470 -5.1368
Sr Cd Cu
1 5 2
direct
0.0000 0.0000 0.0000
0.1557 0.3446 0.8111
0.4665 0.6554 0.8111
0.5000 0.0000 0.5000
0.5335 0.3446 0.1889
0.8443 0.6554 0.1889
0.2419 0.7419 0.5000
0.7581 0.2581 0.5000
```

Results
* symmetry: No. 71
* crystal system: orthorhombic
* formation energy: -0.124 eV per atom

# 2
DFT (GGA-PBE) results for a relaxed structure of CaAu2Br6.

POSCAR file:
```
CaAu2Br6
1.0
6.1756 -6.9313 0.0000
6.1756 6.9313 0.0000
-3.2298 0.0000 7.1179
Ca Au Br
2 4 12
direct
0.1079 0.8921 0.7500
0.8921 0.1079 0.2500
0.2824 0.4469 0.8537
0.4469 0.2824 0.3537
0.5531 0.7176 0.6463
0.7176 0.5531 0.1463
0.0756 0.6005 0.8183
0.0890 0.1808 0.6433
0.1808 0.0890 0.1433
0.3093 0.5038 0.4186
0.3995 0.9244 0.6817
0.4962 0.6907 0.0814
0.5038 0.3093 0.9186
0.6005 0.0756 0.3183
0.6907 0.4962 0.5814
0.8192 0.9110 0.8567
0.9110 0.8192 0.3567
0.9244 0.3995 0.1817
```

Results
* symmetry: No. 15
* crystal system: monoclinic

# 3
DFT (GGA-PBE) results for a relaxed structure of BeBr2Cl.

POSCAR file:
```
BeBr2Cl
1.0
2.4754 -4.8609 0.0000
2.4754 4.8609 0.0000
-2.4607 0.0000 4.6262
Be Br Cl
1 2 1
direct
0.0000 0.0000 0.0000
0.0000 0.5000 0.5000
0.5000 0.0000 0.5000
0.5000 0.5000 0.0000
```

Results
* distance to the lowest polymorph of the same formula: 1003 meV per atom
* symmetry: No. 12
* crystal system: monoclinic

# 4
DFT (GGA-PBE) results for a relaxed structure of Li6Hg8Bi.

POSCAR file:
```
Li6Hg8Bi
1.0
4.0627 2.3456 5.7682
-4.0627 2.3456 5.7682
0.0000 -4.6912 5.7682
Li Hg Bi
6 8 1
direct
0.0945 0.7785 0.4692
0.2215 0.5308 0.9055
0.4692 0.0945 0.7785
0.5308 0.9055 0.2215
0.7785 0.4692 0.0945
0.9055 0.2215 0.5308
0.0554 0.3798 0.7131
0.1469 0.1469 0.1469
0.2869 0.9446 0.6202
0.3798 0.7131 0.0554
0.6202 0.2869 0.9446
0.7131 0.0554 0.3798
0.8531 0.8531 0.8531
0.9446 0.6202 0.2869
0.5000 0.5000 0.5000
```

Results
* symmetry: No. 148
* crystal system: trigonal
* formation energy: -0.264 eV per atom

no.,final energy (eV per formula unit),magnetic moment (μB per formula unit)
1,-15.44,0.0
2,-24.77,0.0
3,-7.69,0.0
4,-21.73,0.0